# Pr7Y2Tm2

An optimized crystal structure of Pr7Y2Tm2 (PBE, Alexandria via LeMat-Bulk).

Properties
As for the space group: No. 12. As for the polymorph energy (0 for the lowest one): 18 meV per atom. The value obtained for the theoretical density is 6.43 g/cm³. The calculation puts the density of states at the Fermi level at 13.45 states/eV per cell. The magnetization is 0.0 Bohr magnetons per cell. The formation energy is 1.67 eV per formula unit.

a b c (Å): 8.358 7.009 7.009
angles (deg): 78.77 78.03 78.03
Fractional coordinates of all 11 atoms:
Pr 0.180 0.082 0.474
Pr 0.820 0.526 0.918
Pr 0.820 0.918 0.526
Pr 0.180 0.474 0.082
Pr 0.000 0.000 0.000
Pr 0.445 0.739 0.739
Pr 0.555 0.261 0.261
Y 0.809 0.450 0.450
Y 0.191 0.550 0.550
Tm 0.500 0.212 0.788
Tm 0.500 0.788 0.212



# PrY12Tm2

An optimized crystal structure of PrY12Tm2 (PBE, Alexandria via LeMat-Bulk).

Properties
As for the space group: No. 12. The value obtained for the theoretical density is 5.23 g/cm³. The calculation puts the density of states at the Fermi level at 53.87 states/eV per cell. The magnetization is 0.0 Bohr magnetons per cell. The formation energy is 1.26 eV per formula unit.

a b c (Å): 6.466 6.466 26.669
angles (deg): 83.63 96.37 64.16
Fractional coordinates of all 30 atoms:
Pr 0.501 0.999 0.000
Pr 0.999 0.501 0.000
Y 0.583 0.410 0.799
Y 0.090 0.917 0.799
Y 0.893 0.607 0.871
Y 0.440 0.560 0.927
Y 0.953 0.906 0.336
Y 0.060 0.940 0.073
Y 0.773 0.383 0.553
Y 0.594 0.547 0.336
Y 0.395 0.105 0.871
Y 0.607 0.893 0.129
Y 0.209 0.291 0.648
Y 0.727 0.117 0.447
Y 0.906 0.953 0.664
Y 0.291 0.209 0.352
Y 0.105 0.395 0.129
Y 0.034 0.466 0.447
Y 0.466 0.034 0.553
Y 0.917 0.090 0.201
Y 0.117 0.727 0.553
Y 0.547 0.594 0.664
Y 0.940 0.060 0.927
Y 0.410 0.583 0.201
Y 0.383 0.773 0.447
Y 0.560 0.440 0.073
Tm 0.455 0.045 0.244
Tm 0.944 0.556 0.245
Tm 0.045 0.455 0.756
Tm 0.556 0.944 0.755



# Pr4Y2Tm

An optimized crystal structure of Pr4Y2Tm (PBE, Alexandria via LeMat-Bulk).

Properties
As for the space group: No. 43. As for the polymorph energy (0 for the lowest one): 0 meV per atom. The value obtained for the theoretical density is 6.26 g/cm³. The calculation puts the density of states at the Fermi level at 21.28 states/eV per cell. The magnetization is 0.0 Bohr magnetons per cell. The formation energy is 0.41 eV per formula unit.

a b c (Å): 12.684 12.684 6.868
angles (deg): 97.00 97.00 150.22
Fractional coordinates of all 14 atoms:
Pr 0.709 0.172 0.860
Pr 0.172 0.709 0.360
Pr 0.186 0.795 0.897
Pr 0.795 0.186 0.397
Pr 0.040 0.150 0.604
Pr 0.563 0.600 0.141
Pr 0.600 0.563 0.641
Pr 0.150 0.040 0.104
Y 0.622 0.304 0.451
Y 0.921 0.103 0.049
Y 0.103 0.921 0.549
Y 0.304 0.622 0.951
Tm 0.423 0.673 0.500
Tm 0.673 0.423 0.000



# Pr3Y8Tm2

An optimized crystal structure of Pr3Y8Tm2 (PBE, Alexandria via LeMat-Bulk).

Properties
As for the space group: No. 2. As for the polymorph energy (0 for the lowest one): 0 meV per atom. The value obtained for the theoretical density is 5.66 g/cm³. The calculation puts the density of states at the Fermi level at 38.50 states/eV per cell. The magnetization is 0.0 Bohr magnetons per cell. The formation energy is 1.44 eV per formula unit.

a b c (Å): 13.418 6.326 18.006
angles (deg): 66.41 101.13 140.97
Fractional coordinates of all 26 atoms:
Pr 0.541 0.328 0.283
Pr 0.500 0.000 0.500
Pr 0.057 0.712 0.726
Pr 0.943 0.288 0.274
Pr 0.000 0.000 0.000
Pr 0.459 0.672 0.717
Y 0.697 0.071 0.130
Y 0.558 0.732 0.379
Y 0.117 0.228 0.808
Y 0.710 0.707 0.866
Y 0.262 0.493 0.268
Y 0.879 0.586 0.396
Y 0.194 0.777 0.391
Y 0.853 0.335 0.933
Y 0.147 0.665 0.067
Y 0.806 0.223 0.609
Y 0.883 0.772 0.192
Y 0.738 0.507 0.732
Y 0.290 0.293 0.134
Y 0.121 0.414 0.604
Y 0.442 0.268 0.621
Y 0.303 0.929 0.870
Tm 0.560 0.380 0.075
Tm 0.826 0.865 0.507
Tm 0.174 0.135 0.493
Tm 0.440 0.620 0.925



# PrYTm4

An optimized crystal structure of PrYTm4 (PBE, Alexandria via LeMat-Bulk).

Properties
As for the space group: No. 12. As for the polymorph energy (0 for the lowest one): 0 meV per atom. The value obtained for the theoretical density is 7.99 g/cm³. The calculation puts the density of states at the Fermi level at 8.32 states/eV per cell. The magnetization is 0.0 Bohr magnetons per cell. The formation energy is 0.17 eV per formula unit.

a b c (Å): 4.980 7.934 11.240
angles (deg): 148.19 89.97 108.31
Fractional coordinates of all 6 atoms:
Pr 0.500 0.000 0.500
Y 0.000 0.000 0.000
Tm 0.833 0.667 0.502
Tm 0.167 0.333 0.498
Tm 0.334 0.669 0.002
Tm 0.666 0.331 0.998



# Pr3Y7Tm2

An optimized crystal structure of Pr3Y7Tm2 (PBE, Alexandria via LeMat-Bulk).

Properties
As for the space group: No. 10. The value obtained for the theoretical density is 5.43 g/cm³. The calculation puts the density of states at the Fermi level at 19.78 states/eV per cell. The magnetization is 1.0 Bohr magnetons per cell. The formation energy is 2.74 eV per formula unit.

a b c (Å): 3.645 5.631 20.686
angles (deg): 90.00 95.06 90.00
Each line ends with the local moment (μB).
Fractional coordinates of all 12 atoms:
Pr 0.500 0.500 0.000  0.01
Pr 0.830 0.000 0.662  0.01
Pr 0.170 0.000 0.338  0.01
Y 0.285 0.500 0.570  0.23
Y 0.715 0.500 0.430  0.23
Y 0.414 0.000 0.828  0.00
Y 0.000 0.000 0.000  0.00
Y 0.586 0.000 0.172  0.00
Y 0.068 0.500 0.136  0.00
Y 0.932 0.500 0.864  0.00
Tm 0.363 0.500 0.727  0.01
Tm 0.637 0.500 0.273  0.01



# PrY3Tm

An optimized crystal structure of PrY3Tm (PBE, Alexandria via LeMat-Bulk).

Properties
As for the space group: No. 11. As for the polymorph energy (0 for the lowest one): 272 meV per atom. The value obtained for the theoretical density is 5.41 g/cm³. The calculation puts the density of states at the Fermi level at 16.02 states/eV per cell. The magnetization is 0.0 Bohr magnetons per cell. The formation energy is 1.42 eV per formula unit.

a b c (Å): 3.641 8.548 11.607
angles (deg): 90.00 90.00 101.48
Fractional coordinates of all 10 atoms:
Pr 0.897 0.515 0.250
Pr 0.103 0.485 0.750
Y 0.836 0.189 0.001
Y 0.164 0.811 0.999
Y 0.836 0.189 0.499
Y 0.164 0.811 0.501
Y 0.648 0.865 0.250
Y 0.352 0.135 0.750
Tm 0.298 0.179 0.250
Tm 0.702 0.821 0.750



# Pr7YTm3

An optimized crystal structure of Pr7YTm3 (PBE, Alexandria via LeMat-Bulk).

Properties
As for the space group: No. 12. As for the polymorph energy (0 for the lowest one): 38 meV per atom. The value obtained for the theoretical density is 6.76 g/cm³. The calculation puts the density of states at the Fermi level at 14.13 states/eV per cell. The magnetization is 0.0 Bohr magnetons per cell. The formation energy is 2.43 eV per formula unit.

a b c (Å): 5.938 8.620 8.620
angles (deg): 83.58 110.19 110.19
Fractional coordinates of all 11 atoms:
Pr 0.208 0.207 0.207
Pr 0.308 0.019 0.597
Pr 0.692 0.403 0.981
Pr 0.308 0.597 0.019
Pr 0.000 0.500 0.500
Pr 0.692 0.981 0.403
Pr 0.792 0.793 0.793
Y 0.500 0.500 0.500
Tm 0.000 0.795 0.205
Tm 0.500 0.000 0.000
Tm 0.000 0.205 0.795



# PrY7Tm4

An optimized crystal structure of PrY7Tm4 (PBE, Alexandria via LeMat-Bulk).

Properties
As for the space group: No. 12. As for the polymorph energy (0 for the lowest one): 234 meV per atom. The value obtained for the theoretical density is 6.11 g/cm³. The calculation puts the density of states at the Fermi level at 22.36 states/eV per cell. The magnetization is 0.0 Bohr magnetons per cell. The formation energy is 2.82 eV per formula unit.

a b c (Å): 5.861 9.578 8.507
angles (deg): 62.38 69.85 72.19
Fractional coordinates of all 12 atoms:
Pr 0.000 0.000 0.000
Y 0.783 0.882 0.552
Y 0.217 0.118 0.448
Y 0.085 0.549 0.281
Y 0.915 0.451 0.719
Y 0.213 0.759 0.814
Y 0.500 0.000 0.000
Y 0.787 0.241 0.186
Tm 0.571 0.302 0.556
Tm 0.429 0.698 0.444
Tm 0.670 0.618 0.042
Tm 0.330 0.382 0.958